# 1
Computed, not measured: crystalline TiAu at its relaxed geometry at the PBE level of DFT.

Cell lengths 10.515, 8.274, 6.940 Å; angles 90.00, 90.00, 90.00 degrees
Positions (direct):
Au (0.250, 0.750, 0.051)
Au (0.500, 0.500, 0.801)
Au (0.000, 0.500, 0.301)
Au (0.750, 0.250, 0.051)
Au (0.250, 0.250, 0.949)
Au (0.000, 0.000, 0.199)
Au (0.250, 0.250, 0.551)
Au (0.500, 0.500, 0.199)
Au (0.750, 0.250, 0.449)
Au (0.750, 0.750, 0.949)
Au (0.250, 0.750, 0.449)
Au (0.500, 0.000, 0.699)
Au (0.000, 0.500, 0.699)
Au (0.750, 0.750, 0.551)
Au (0.500, 0.000, 0.301)
Au (0.000, 0.000, 0.801)
Ti (0.750, 0.956, 0.250)
Ti (0.250, 0.044, 0.250)
Ti (0.500, 0.794, 0.000)
Ti (0.250, 0.956, 0.750)
Ti (0.000, 0.206, 0.500)
Ti (0.000, 0.706, 0.000)
Ti (0.250, 0.456, 0.250)
Ti (0.750, 0.044, 0.750)
Ti (0.500, 0.294, 0.500)
Ti (0.750, 0.544, 0.250)
Ti (0.750, 0.456, 0.750)
Ti (0.000, 0.294, 0.000)
Ti (0.000, 0.794, 0.500)
Ti (0.500, 0.706, 0.500)
Ti (0.250, 0.544, 0.750)
Ti (0.500, 0.206, 0.000)

Calculated values
Formation energy from the elements: -0.19 eV per formula unit
Mass density: 10.77 Mg/m³

***

# 2
Computed, not measured: crystalline CaLaGa at its relaxed geometry at the PBE level of DFT.

Cell lengths 3.935, 7.164, 8.085 Å; angles 82.22, 60.93, 74.10 degrees
Positions (direct):
Ga (0.072, 0.054, 0.726)
Ga (0.816, 0.565, 0.225)
La (0.343, 0.400, 0.783)
La (0.936, 0.785, 0.496)
Ca (0.407, 0.843, 0.996)
Ca (0.424, 0.229, 0.285)

Calculated values
Formation energy from the elements: -0.86 eV per formula unit
E above lowest polymorph: 156 meV per atom
Mass density: 4.31 Mg/m³

***

# 3
Computed, not measured: crystalline BaCr2SiS6 at its relaxed geometry at the PBE level of DFT.

Cell lengths 6.365, 6.365, 6.723 Å; angles 61.74, 61.74, 60.00 degrees
Last column: magnetic moment on the atom in μB.
Positions (direct):
Si (0.330, 0.330, 0.011)  0.04
S (0.600, 0.258, 0.219)  -0.05
S (0.730, 0.221, 0.749)  -0.03
S (0.258, 0.923, 0.219)  -0.05
S (0.923, 0.600, 0.219)  -0.05
S (0.221, 0.299, 0.749)  -0.03
S (0.299, 0.730, 0.749)  -0.03
Cr (0.007, 0.007, 0.980)  2.75
Cr (0.525, 0.525, 0.424)  2.90
Ba (0.768, 0.768, 0.695)  0.01

Calculated values
Energy relative to the elements, uncorrected: -0.77 eV/atom
Mass density: 3.88 Mg/m³

***

# 4
Computed, not measured: crystalline BaCuBr2 at its relaxed geometry at the PBE level of DFT.

Cell lengths 4.541, 4.541, 6.216 Å; angles 90.00, 90.00, 89.91 degrees
Positions (direct):
Br (0.500, 0.500, 0.312)
Br (0.000, 0.000, 0.977)
Cu (0.000, 0.000, 0.409)
Ba (0.500, 0.500, 0.802)

Calculated values
Energy relative to the elements, uncorrected: -0.84 eV/atom
E above lowest polymorph: 164 meV per atom
Mass density: 4.67 Mg/m³

***

# 5
Computed, not measured: crystalline Ta2OsCl at its relaxed geometry at the PBE level of DFT.

Cell lengths 2.912, 2.912, 8.954 Å; angles 90.00, 90.00, 116.17 degrees
Positions (direct):
Ta (0.000, 0.000, 0.505)
Ta (0.000, 0.000, 0.995)
Cl (0.500, 0.500, 0.250)
Os (0.500, 0.500, 0.750)

Calculated values
Energy relative to the elements, uncorrected: 0.20 eV/atom
E above lowest polymorph: 294 meV per atom
Mass density: 14.32 Mg/m³

***

# 6
Computed, not measured: crystalline MgTlGa2Cl8 at its relaxed geometry at the PBE level of DFT.

Cell lengths 6.477, 6.477, 10.024 Å; angles 71.15, 71.15, 60.00 degrees
Last column: magnetic moment on the atom in μB.
Positions (direct):
Cl (0.366, 0.729, 0.839)  0.04
Cl (0.933, 0.634, 0.161)  0.04
Cl (0.067, 0.366, 0.839)  0.04
Cl (0.271, 0.933, 0.161)  0.04
Cl (0.178, 0.178, 0.467)  0.03
Cl (0.729, 0.067, 0.839)  0.04
Cl (0.634, 0.271, 0.161)  0.04
Cl (0.822, 0.822, 0.533)  0.03
Ga (0.259, 0.259, 0.224)  0.14
Ga (0.741, 0.741, 0.776)  0.14
Mg (0.000, 0.000, 0.000)  0.00
Tl (0.500, 0.500, 0.500)  0.00

Calculated values
Energy relative to the elements, uncorrected: -1.12 eV/atom
Mass density: 3.20 Mg/m³

***

# 7
Computed, not measured: crystalline Na3Tl2In3 at its relaxed geometry at the PBE level of DFT.

Cell lengths 5.228, 6.328, 15.310 Å; angles 90.00, 90.00, 114.40 degrees
Positions (direct):
Na (0.925, 0.849, 0.401)
Na (0.075, 0.151, 0.599)
Na (0.075, 0.151, 0.901)
Na (0.925, 0.849, 0.099)
Na (0.278, 0.556, 0.750)
Na (0.722, 0.444, 0.250)
In (0.411, 0.822, 0.570)
In (0.411, 0.822, 0.930)
In (0.589, 0.178, 0.430)
In (0.439, 0.877, 0.250)
In (0.561, 0.123, 0.750)
In (0.589, 0.178, 0.070)
Tl (0.762, 0.524, 0.898)
Tl (0.238, 0.476, 0.102)
Tl (0.762, 0.524, 0.602)
Tl (0.238, 0.476, 0.398)

Calculated values
Formation energy from the elements: -0.63 eV per formula unit
E above lowest polymorph: 16 meV per atom
Mass density: 5.92 Mg/m³

***

# 8
Computed, not measured: crystalline ErNi6P at its relaxed geometry at the PBE level of DFT.

Cell lengths 5.675, 5.675, 5.216 Å; angles 57.05, 57.05, 60.00 degrees
Positions (direct):
Ni (0.879, 0.462, 0.779)
Ni (0.121, 0.121, 0.221)
Ni (0.462, 0.879, 0.779)
Ni (0.879, 0.879, 0.779)
Ni (0.121, 0.538, 0.221)
Ni (0.538, 0.121, 0.221)
Er (0.500, 0.500, 0.500)
P (0.000, 0.000, 0.000)

Calculated values
Formation energy from the elements: -1.19 eV per formula unit
Mass density: 8.07 Mg/m³

***

- Which value of mass density does entry 2 give?
  4.31 Mg/m³